Entry from the Alexandria database: LaTlRh2 at its PBEsol-relaxed geometry (meta-GGA SCAN).

- Formation energy from the elements: -0.285 eV per atom
- Final energy: -46.036 eV per atom

Cell: 3.4786 3.4786 6.4445 Å, 90.00 90.00 90.00°
With the nearest neighbours (Å) after each atom.
Positions (direct):
1 La 0.5000 0.5000 0.5000  8 Rh 3.01, 2 Tl 3.22
2 Rh 0.0000 0.0000 0.7689  4 Tl 2.88, 1 Rh 2.98, 4 La 3.01
3 Rh 0.0000 0.0000 0.2311  4 Tl 2.88, 1 Rh 2.98, 4 La 3.01
4 Tl 0.5000 0.5000 0.0000  8 Rh 2.88